DFT (PBE) results for a relaxed structure of Ir2RuSe.

For the total energy, the calculation gives -58.0 eV per cell. The uncorrected formation energy comes out at 364 meV/atom.

The space group is Cm (No. 8) and the conventional cell measures 9.008, 2.841 and 4.889 Å, with angles of 90.00, 104.36 and 90.00 degrees. The asymmetric unit holds Ir at (0.000, 0.000, 0.000), Ir at (0.243, 0.000, 0.767), Ru at (0.483, 0.000, 0.520) and Se at (0.236, 0.500, 0.311).



DFT (PBE) results for a relaxed structure of MgTlB3.

For the total energy, the calculation gives -13.6 eV per cell. For the formation energy, the calculation gives 2.083 eV per atom.

The space group is Pm-3m (No. 221) and the conventional cell measures 4.485, 4.485 and 4.485 Å, with angles of 90.00, 90.00 and 90.00 degrees. The asymmetric unit holds Mg at (0.000, 0.000, 0.000), Tl at (0.500, 0.500, 0.500) and B at (0.000, 0.000, 0.500).



DFT (PBE) results for a relaxed structure of BeBiRu2O.

For the total energy, the calculation gives -20.0 eV per cell. The uncorrected formation energy comes out at 2215 meV/atom.

The space group is P4/mmm (No. 123) and the conventional cell measures 5.143, 5.143 and 4.520 Å, with angles of 90.00, 90.00 and 90.00 degrees. The asymmetric unit holds Be at (0.000, 0.000, 0.000), Bi at (0.000, 0.000, 0.500), Ru at (0.000, 0.500, 0.500) and O at (0.500, 0.500, 0.000).



DFT (PBE) results for a relaxed structure of NdAgPbCl6.

For the total energy, the calculation gives -71.4 eV per cell. The uncorrected formation energy comes out at -1478 meV/atom.

The space group is P-31c (No. 163) and the conventional cell measures 6.9829, 6.9829 and 12.9574 Å, with angles of 90.00, 90.00 and 120.00 degrees. The asymmetric unit holds Nd at (0.3333, 0.6667, 0.2500), Ag at (0.3333, 0.6667, 0.7500), Pb at (0.0000, 0.0000, 0.0000) and Cl at (0.0034, 0.3458, 0.1291).



DFT (PBE) results for a relaxed structure of AcSmS2.

For the total energy, the calculation gives -70.8 eV per cell. The uncorrected formation energy comes out at -1627 meV/atom.

The space group is R-3m (No. 166, hexagonal axes) and the conventional cell measures 4.1681, 4.1681 and 26.2709 Å, with angles of 90.00, 90.00 and 120.00 degrees. The asymmetric unit holds Ac at (0.0000, 0.0000, 0.0000), Sm at (0.0000, 0.0000, 0.5000) and S at (0.0000, 0.0000, 0.1107).



DFT (PBE) results for a relaxed structure of LaNi2GeP.

For the total energy, the calculation gives -61.6 eV per cell. For the formation energy, the calculation gives -0.856 eV per atom.

The space group is I4mm (No. 107) and the conventional cell measures 4.097, 4.097 and 9.835 Å, with angles of 90.00, 90.00 and 90.00 degrees. The asymmetric unit holds La at (0.000, 0.000, 0.000), Ni at (0.000, 0.500, 0.241), Ge at (0.000, 0.000, 0.368) and P at (0.000, 0.000, 0.633).



DFT (PBE) results for a relaxed structure of Nb2ZnRu2.

For the total energy, the calculation gives -80.6 eV per cell. For the formation energy, the calculation gives -0.069 eV per atom.

The space group is P4/mbm (No. 127) and the conventional cell measures 7.433, 7.433 and 3.043 Å, with angles of 90.00, 90.00 and 90.00 degrees. The asymmetric unit holds Nb at (0.161, 0.339, 0.000), Zn at (0.000, 0.000, 0.500) and Ru at (0.139, 0.639, 0.500).



DFT (PBE) results for a relaxed structure of La2BeAs2.

For the total energy, the calculation gives -53.5 eV per cell. For the formation energy, the calculation gives -0.772 eV per atom.

The space group is P4/mbm (No. 127) and the conventional cell measures 7.579, 7.579 and 4.215 Å, with angles of 90.00, 90.00 and 90.00 degrees. The asymmetric unit holds La at (0.155, 0.345, 0.000), Be at (0.000, 0.000, 0.500) and As at (0.161, 0.661, 0.500).



DFT (PBE) results for a relaxed structure of OsCl2F.

For the total energy, the calculation gives -47.5 eV per cell. The uncorrected formation energy comes out at 242 meV/atom.

The space group is R-3m (No. 166, hexagonal axes) and the conventional cell measures 3.0097, 3.0097 and 24.7327 Å, with angles of 90.00, 90.00 and 120.00 degrees. The asymmetric unit holds Os at (0.0000, 0.0000, 0.0000), Cl at (0.0000, 0.0000, 0.0879) and F at (0.0000, 0.0000, 0.5000).



DFT (PBE) results for a relaxed structure of Tl2ReO6.

For the total energy, the calculation gives -111.2 eV per cell. The uncorrected formation energy comes out at -962 meV/atom.

The space group is C2/m (No. 12) and the conventional cell measures 10.072, 5.981 and 5.717 Å, with angles of 90.00, 120.06 and 90.00 degrees. The asymmetric unit holds Tl at (0.249, 0.000, 0.178), Re at (0.000, 0.000, 0.500), O at (0.088, 0.222, 0.783) and O at (0.181, 0.000, 0.484).



DFT (PBE) results for a relaxed structure of Pm2NpF11.

For the total energy, the calculation gives -378.0 eV per cell. The uncorrected formation energy comes out at -3677 meV/atom.

The space group is Ibam (No. 72) and the conventional cell measures 8.358, 10.577 and 11.172 Å, with angles of 90.00, 90.00 and 90.00 degrees. The asymmetric unit holds Pm at (0.137, 0.182, 0.000), Np at (0.000, 0.500, 0.250), F at (0.000, 0.000, 0.000), F at (0.095, 0.332, 0.153), F at (0.125, 0.224, 0.500) and F at (0.199, 0.437, 0.362).



DFT (PBE) results for a relaxed structure of BeHO2.

For the total energy, the calculation gives -67.5 eV per cell.

The space group is Fm-3m (No. 225) and the conventional cell measures 4.599, 4.599 and 4.599 Å, with angles of 90.00, 90.00 and 90.00 degrees. The asymmetric unit holds Be at (0.000, 0.000, 0.000), H at (0.000, 0.000, 0.500) and O at (0.250, 0.250, 0.250).